(1)
# ErLuCdNi GGA-PBE relaxed
# - Magnetic moment: 0.000 μB/atom
# - Theoretical density: 9.8 g/cm3
# - Formation enthalpy at 0 K: -6.67 kcal/mol of atoms
data_ErLuCdNi
_symmetry_space_group_name_H-M 'F -4 3 m'
_symmetry_Int_Tables_number 216
_symmetry_space_group_name_Hall 'F -4 2 3'
_cell_length_a 7.0392
_cell_length_b 7.0392
_cell_length_c 7.0392
_cell_angle_alpha 90.00
_cell_angle_beta 90.00
_cell_angle_gamma 90.00
loop_
_atom_site_label
_atom_site_type_symbol
_atom_site_fract_x
_atom_site_fract_y
_atom_site_fract_z
Er1 Er 0.0000 0.0000 0.0000
Lu1 Lu 0.0000 0.0000 0.5000
Cd1 Cd 0.2500 0.2500 0.2500
Ni1 Ni 0.2500 0.2500 0.7500

---

(2)
# Na3SbO3 GGA-PBE relaxed
# - Magnetic moment: 0.000 μB/atom
# - ΔE to the lowest computed polymorph: 72 meV/atom
# - Theoretical density: 3.1 g/cm3
# - Formation energy without anion corrections: -1.49 eV per atom
data_Na3SbO3
_symmetry_space_group_name_H-M 'P 63 m c'
_symmetry_Int_Tables_number 186
_symmetry_space_group_name_Hall 'P 6c -2c'
_cell_length_a 7.1406
_cell_length_b 7.1406
_cell_length_c 5.7967
_cell_angle_alpha 90.00
_cell_angle_beta 90.00
_cell_angle_gamma 120.00
loop_
_atom_site_label
_atom_site_type_symbol
_atom_site_fract_x
_atom_site_fract_y
_atom_site_fract_z
Na1 Na 0.1637 0.3274 0.0000
Sb1 Sb 0.3333 0.6667 0.4627
O1 O 0.1910 0.3820 0.6123

---

(3)
# DyYCuAu GGA-PBE relaxed
# - Magnetic moment: 0.000 μB/atom
# - ΔE to the lowest computed polymorph: 0 meV/atom
# - Theoretical density: 9.2 g/cm3
# - Formation enthalpy at 0 K: -13.02 kcal/mol of atoms
data_DyYCuAu
_symmetry_space_group_name_H-M 'A m m 2'
_symmetry_Int_Tables_number 38
_symmetry_space_group_name_Hall 'A 2 -2'
_cell_length_a 4.5877
_cell_length_b 3.7605
_cell_length_c 10.7059
_cell_angle_alpha 90.00
_cell_angle_beta 90.00
_cell_angle_gamma 90.00
loop_
_atom_site_label
_atom_site_type_symbol
_atom_site_fract_x
_atom_site_fract_y
_atom_site_fract_z
Dy1 Dy 0.0000 0.0000 0.0000
Y1 Y 0.5000 0.0000 0.2800
Cu1 Cu 0.5000 0.0000 0.5587
Au1 Au 0.0000 0.0000 0.7172

---

Question: What is the formula in the second record?
Answer: Na3SbO3

---

Question: theoretical density of number 2 (Na3SbO3)?
Answer: 3.1 g/cm3

---

Question: Which of these has the highest theoretical density?
Answer: ErLuCdNi